Material: Ba2HfMn2O6
Method: DFT, GGA+U
State: relaxed

Cell and atoms, written as CIF:
```
data_Ba2HfMn2O6
_cell_length_a 6.009
_cell_length_b 6.009
_cell_length_c 6.490
_cell_angle_alpha 62.43
_cell_angle_beta 62.43
_cell_angle_gamma 60.00
_space_group_name_H-M_alt 'P 1'
_space_group_IT_number 1
loop_
_space_group_symop_operation_xyz
'x,y,z'
loop_
_atom_site_label
_atom_site_type_symbol
_atom_site_fract_x
_atom_site_fract_y
_atom_site_fract_z
_atom_site_occupancy
Ba1 Ba 0.773 0.773 0.681 1
Ba2 Ba 0.227 0.227 0.319 1
Hf1 Hf 0.000 0.000 0.000 1
Mn1 Mn 0.442 0.442 0.675 1
Mn2 Mn 0.558 0.558 0.325 1
O1 O 0.765 0.765 0.229 1
O2 O 0.242 0.765 0.229 1
O3 O 0.765 0.242 0.229 1
O4 O 0.235 0.758 0.771 1
O5 O 0.758 0.235 0.771 1
O6 O 0.235 0.235 0.771 1
```

Properties
Magnetic moment, μB/f.u.: 4.00
VASP energy, eV/cell: -80.23
Calculated volume, Å³ per atom: 15.6